VASP calculation (PBEsol) on crystalline LaAlAg at its relaxed geometry.

## Properties
* energy of formation from the pure elements: -0.36 eV per atom
* total magnetic moment: 0.0 μB per formula unit
* mass density: 6.551 g/cm3

Cell: 3.553 4.749 4.749 Å, 120.00 90.00 90.00°
Positions (direct):
Al: 0.000 0.333 0.667
Ag: 0.000 0.000 0.000
La: 0.500 0.667 0.333

VASP calculation (PBEsol) on crystalline La2AlAg2 at its relaxed geometry.

## Properties
* energy of formation from the pure elements: -0.12 eV per atom
* total magnetic moment: 0.0 μB per formula unit
* mass density: 6.736 g/cm3

Cell: 3.761 3.761 9.454 Å, 101.47 101.47 90.00°
Positions (direct):
Al: 0.000 0.000 0.000
Ag: 0.250 0.750 0.500
Ag: 0.750 0.250 0.500
La: 0.395 0.395 0.791
La: 0.605 0.605 0.209

VASP calculation (PBEsol) on crystalline La2AlAg at its relaxed geometry.

## Properties
* energy of formation from the pure elements: -0.28 eV per atom
* total magnetic moment: 0.0 μB per formula unit
* mass density: 6.751 g/cm3

Cell: 3.732 5.123 6.182 Å, 114.48 107.57 90.00°
Positions (direct):
Al: 0.208 0.708 0.416
Ag: 0.534 0.534 0.068
La: 0.985 0.985 0.970
La: 0.773 0.273 0.546

VASP calculation (PBEsol) on crystalline LaAlAg2 at its relaxed geometry.

## Properties
* energy of formation from the pure elements: -0.22 eV per atom
* total magnetic moment: 0.0 μB per formula unit
* mass density: 7.039 g/cm3

Cell: 4.517 4.517 5.723 Å, 66.75 66.75 60.00°
Positions (direct):
Al: 0.548 0.548 0.357
Ag: 0.964 0.964 0.109
Ag: 0.237 0.237 0.288
La: 0.756 0.756 0.732

VASP calculation (PBEsol) on crystalline La2AlAg at its relaxed geometry.

## Properties
* energy of formation from the pure elements: -0.29 eV per atom
* total magnetic moment: 0.0 μB per formula unit
* mass density: 6.848 g/cm3

Cell: 3.642 4.947 5.554 Å, 90.00 90.00 90.00°
Positions (direct):
Al: 0.500 0.500 0.219
Ag: 0.500 0.000 0.523
La: 0.000 0.000 0.061
La: 0.000 0.500 0.696

VASP calculation (PBEsol) on crystalline LaAlAg at its relaxed geometry.

## Properties
* energy of formation from the pure elements: 0.02 eV per atom
* total magnetic moment: 0.0 μB per formula unit
* mass density: 5.851 g/cm3

Cell: 4.790 4.790 4.790 Å, 60.00 60.00 60.00°
Positions (direct):
Al: 0.250 0.250 0.250
Ag: 0.500 0.500 0.500
La: 0.000 0.000 0.000

VASP calculation (PBEsol) on crystalline La2AlAg at its relaxed geometry.

## Properties
* energy of formation from the pure elements: -0.25 eV per atom
* total magnetic moment: 0.0 μB per formula unit
* mass density: 6.457 g/cm3

Cell: 3.695 5.359 5.359 Å, 90.11 90.00 90.00°
Positions (direct):
Al: 0.500 0.500 0.500
Ag: 0.500 0.000 0.000
La: 0.000 0.500 0.000
La: 0.000 0.000 0.500

VASP calculation (PBEsol) on crystalline LaY2AlAg at its relaxed geometry.

## Properties
* energy of formation from the pure elements: 0.28 eV per atom
* total magnetic moment: 1.0 μB per formula unit
* mass density: 5.146 g/cm3

Cell: 4.772 5.526 5.526 Å, 90.00 90.00 90.00°
Positions (direct):
Y: 0.000 0.000 0.500
Y: 0.000 0.500 0.000
Al: 0.000 0.000 0.000
Ag: 0.500 0.000 0.000
La: 0.500 0.500 0.500

VASP calculation (PBEsol) on crystalline LiAl2Ag2 at its relaxed geometry.

## Properties
* energy of formation from the pure elements: 0.04 eV per atom
* total magnetic moment: 0.0 μB per formula unit
* mass density: 4.950 g/cm3

Cell: 3.864 3.864 6.790 Å, 106.53 106.53 90.00°
Positions (direct):
Al: 0.398 0.398 0.796
Al: 0.602 0.602 0.204
Ag: 0.250 0.750 0.500
Ag: 0.750 0.250 0.500
Li: 0.000 0.000 0.000

VASP calculation (PBEsol) on crystalline LiAl2Ag2 at its relaxed geometry.

## Properties
* energy of formation from the pure elements: -0.15 eV per atom
* total magnetic moment: 0.0 μB per formula unit
* mass density: 5.415 g/cm3

Cell: 2.822 7.754 7.754 Å, 90.00 90.00 90.00°
Positions (direct):
Al: 0.500 0.128 0.628
Al: 0.500 0.628 0.872
Al: 0.500 0.872 0.372
Al: 0.500 0.372 0.128
Ag: 0.000 0.329 0.829
Ag: 0.000 0.829 0.671
Ag: 0.000 0.671 0.171
Ag: 0.000 0.171 0.329
Li: 0.000 0.000 0.000
Li: 0.000 0.500 0.500

VASP calculation (PBEsol) on crystalline LiMgAlAg2 at its relaxed geometry.

## Properties
* energy of formation from the pure elements: 0.61 eV per atom
* total magnetic moment: 0.0 μB per formula unit
* mass density: 3.708 g/cm3

Cell: 4.942 4.942 5.023 Å, 90.00 90.00 90.00°
Positions (direct):
Mg: 0.000 0.000 0.000
Al: 0.000 0.000 0.500
Ag: 0.000 0.500 0.000
Ag: 0.500 0.000 0.000
Li: 0.500 0.500 0.500

VASP calculation (PBEsol) on crystalline MgAl2Ag at its relaxed geometry.

## Properties
* energy of formation from the pure elements: -0.04 eV per atom
* total magnetic moment: 0.0 μB per formula unit
* mass density: 4.459 g/cm3

Cell: 4.142 4.142 4.991 Å, 114.51 114.51 90.00°
Positions (direct):
Mg: 0.500 0.500 0.000
Al: 0.000 0.000 0.000
Al: 0.250 0.750 0.500
Ag: 0.750 0.250 0.500

VASP calculation (PBEsol) on crystalline Mg17Al11Ag at its relaxed geometry.

## Properties
* energy of formation from the pure elements: -0.03 eV per atom
* total magnetic moment: 0.0 μB per formula unit
* mass density: 2.387 g/cm3

Cell: 9.028 9.028 9.065 Å, 109.56 109.56 109.24°
Positions (direct):
Mg: 0.999 0.999 0.345
Mg: 0.681 0.681 0.285
Mg: 0.655 0.655 0.656
Mg: 0.397 0.397 0.712
Mg: 0.002 0.002 0.002
Mg: 0.317 0.598 0.000
Mg: 0.398 0.711 0.396
Mg: 0.000 0.317 0.600
Mg: 0.002 0.345 0.002
Mg: 0.286 0.684 0.685
Mg: 0.600 0.000 0.316
Mg: 0.000 0.600 0.316
Mg: 0.684 0.286 0.685
Mg: 0.345 0.002 0.002
Mg: 0.317 0.000 0.600
Mg: 0.711 0.398 0.396
Mg: 0.598 0.317 0.000
Al: 0.188 0.188 0.820
Al: 0.632 0.814 0.000
Al: 0.183 0.367 0.366
Al: 0.815 0.001 0.634
Al: 0.634 0.000 0.815
Al: 0.819 0.187 0.187
Al: 0.187 0.819 0.187
Al: 0.000 0.634 0.815
Al: 0.001 0.815 0.634
Al: 0.367 0.183 0.366
Al: 0.814 0.632 0.000
Ag: 0.366 0.366 0.178